Record 1
Below is an optimized crystal structure of Cu3Ag4, with properties calculated at the PBE level.

Structure (extended XYZ):
```
7
Lattice="1.092 -0.429 -4.730 -2.652 -1.234 -3.898 -1.346 6.049 -0.199" Properties=species:S:1:pos:R:3 pbc="T T T"
Ag -1.805 0.038 -8.084
Ag -1.567 1.451 -5.646
Ag -1.338 2.935 -3.181
Ag -1.101 4.348 -0.743
Cu -0.780 -0.832 -4.314
Cu -0.520 0.412 -1.943
Cu -2.385 3.974 -6.884
```

Properties
E_tot: -21.9 eV per cell
mass density: 9.59 g/cm³
polymorph energy (0 for the lowest one): 43 meV/atom

---

Record 2
Below is an optimized crystal structure of CuAg2, with properties calculated at the PBE level.

Structure (extended XYZ):
```
9
Lattice="4.506 -2.049 0.000 4.506 2.049 0.000 -3.080 0.000 7.767" Properties=species:S:1:pos:R:3 pbc="T T T"
Ag 1.357 0.000 0.481
Ag 4.095 0.000 1.441
Ag 6.792 0.000 2.343
Ag -0.860 0.000 5.423
Ag 1.837 0.000 6.326
Ag 4.575 0.000 7.286
Cu 0.476 0.000 3.127
Cu 2.966 0.000 3.883
Cu 5.456 0.000 4.640
```

Properties
E_tot: -27.5 eV per cell
mass density: 9.70 g/cm³
polymorph energy (0 for the lowest one): 35 meV/atom

---

Record 3
Below is an optimized crystal structure of CuAg, with properties calculated at the PBE level.

Structure (extended XYZ):
```
8
Lattice="4.437 -1.930 0.000 4.437 1.930 0.000 -3.386 0.000 6.972" Properties=species:S:1:pos:R:3 pbc="T T T"
Ag 8.058 0.000 1.640
Ag 5.451 0.000 2.562
Ag 0.036 0.000 4.409
Ag -2.571 0.000 5.332
Cu 4.437 0.000 0.000
Cu 1.873 0.000 0.805
Cu 2.744 0.000 3.486
Cu 3.614 0.000 6.167
```

Properties
E_tot: -25.4 eV per cell
mass density: 9.53 g/cm³

---

Record 4
Below is an optimized crystal structure of Cu3Ag2, with properties calculated at the PBE level.

Structure (extended XYZ):
```
10
Lattice="-1.102 -2.316 -4.941 0.565 -4.179 -3.635 -7.536 -3.674 4.380" Properties=species:S:1:pos:R:3 pbc="T T T"
Ag -0.956 -4.712 -5.498
Ag -1.670 -3.304 -2.580
Ag -2.479 -1.912 0.438
Ag -4.697 -3.582 0.888
Cu -3.561 -6.867 -5.246
Cu -4.189 -5.147 -1.993
Cu -5.818 -8.513 -4.713
Cu -6.365 -6.807 -1.582
Cu -6.809 -5.157 1.337
Cu -7.856 -9.928 -4.129
```

Properties
E_tot: -32.8 eV per cell
mass density: 9.44 g/cm³
polymorph energy (0 for the lowest one): 40 meV/atom